No. 1
## Tb2Pr3Nd4 (PBE-GGA)

Data for a geometry-optimized Tb2Pr3Nd4 structure.

Geometry as POSCAR:
```
Tb2Pr3Nd4
1.0
3.6682 0.0000 0.0000
-1.8341 8.0062 -0.1011
0.0000 2.6818 10.6514
Tb Pr Nd
2 3 4
direct
0.3332 0.6665 0.2217 Tb
0.6667 0.3335 0.7783 Tb
0.3324 0.6649 0.5562 Pr
0.0000 0.0000 0.0000 Pr
0.6676 0.3351 0.4438 Pr
0.6674 0.3347 0.1108 Nd
0.0006 0.0013 0.6679 Nd
0.9994 0.9987 0.3321 Nd
0.3326 0.6653 0.8892 Nd
```

Computed properties:
ρ (g cm⁻³): 6.97
Calculated total energy (eV/atom): -4.7258
Distance to the lowest polymorph of the same formula (eV/f.u.): 0.000
Total moment (μB per formula unit): 0.000
Calculated formation energy (eV per atom): 0.0153


No. 2
## Mo2PBr (PBE-GGA)

Data for a geometry-optimized Mo2PBr structure.

Geometry as POSCAR:
```
Mo2PBr
1.0
3.0936 0.0000 0.0000
0.0000 4.4027 0.0000
0.0000 0.0000 4.4027
Br Mo P
1 2 1
direct
0.5000 0.0000 0.5000 Br
0.0000 0.0000 0.0000 Mo
0.0000 0.5000 0.5000 Mo
0.5000 0.5000 0.0000 P
```

Computed properties:
ρ (g cm⁻³): 8.38
Calculated total energy (eV/atom): -6.7694
Distance to the lowest polymorph of the same formula (eV/f.u.): 1.501
Total moment (μB per formula unit): 0.000
Formation energy from raw total energies (eV/atom): 0.42


No. 3
## ErZr3Al8 (PBE-GGA)

Data for a geometry-optimized ErZr3Al8 structure.

Geometry as POSCAR:
```
ErZr3Al8
1.0
-0.4914 -4.0534 -3.4879
0.1916 -5.0769 1.7392
-8.8014 -2.9779 0.5669
Er Zr Al
1 3 8
direct
0.8752 0.8752 0.3745 Er
0.3754 0.3754 0.8737 Zr
0.0009 0.0009 0.9973 Zr
0.4983 0.4983 0.5050 Zr
0.9395 0.4385 0.1835 Al
0.4349 0.9370 0.6912 Al
0.4385 0.4385 0.1835 Al
0.9370 0.9370 0.6912 Al
0.1872 0.1872 0.4383 Al
0.6876 0.6876 0.9371 Al
0.4385 0.9395 0.1835 Al
0.9370 0.4349 0.6912 Al
```

Computed properties:
ρ (g cm⁻³): 4.98
Calculated total energy (eV/atom): -5.5344
Distance to the lowest polymorph of the same formula (eV/f.u.): 0.000
Total moment (μB per formula unit): 0.000
Calculated formation energy (eV per atom): -0.5221


No. 4
## SiIrPb3 (PBE-GGA)

Data for a geometry-optimized SiIrPb3 structure.

Geometry as POSCAR:
```
SiIrPb3
1.0
-4.3311 -2.5005 -1.7310
1.4281 -4.3317 2.6841
-2.6850 1.7295 4.2198
Pb Si Ir
3 1 1
direct
0.0000 0.5000 0.0000 Pb
0.0000 0.0000 0.5000 Pb
0.5000 0.0000 0.0000 Pb
0.5000 0.5000 0.5000 Si
0.0000 0.0000 0.0000 Ir
```

Computed properties:
ρ (g cm⁻³): 9.43
Calculated total energy (eV/atom): -4.4728
Distance to the lowest polymorph of the same formula (eV/f.u.): 0.000
Total moment (μB per formula unit): 0.000
Formation energy from raw total energies (eV/atom): 0.61


No. 5
## LaBi2PN (PBE-GGA)

Data for a geometry-optimized LaBi2PN structure.

Geometry as POSCAR:
```
LaBi2PN
1.0
6.2673 0.0000 0.0000
0.0000 5.5387 0.0000
0.0000 0.0000 6.2673
P N Bi La
1 1 2 1
direct
0.0000 0.5000 0.0000 P
0.5000 0.5000 0.5000 N
0.0000 0.0000 0.5000 Bi
0.5000 0.0000 0.0000 Bi
0.0000 0.0000 0.0000 La
```

Computed properties:
ρ (g cm⁻³): 4.59
Calculated total energy (eV/atom): -3.7477
Total moment (μB per formula unit): 2.800
Formation energy from raw total energies (eV/atom): 1.54


No. 6
## La2GaNiHg (PBE-GGA)

Data for a geometry-optimized La2GaNiHg structure.

Geometry as POSCAR:
```
La2GaNiHg
1.0
5.4565 0.0000 0.0000
0.0000 5.4565 0.0000
0.0000 0.0000 4.5432
Ni Hg Ga La
1 1 1 2
direct
0.0000 0.0000 0.0000 Ni
0.5000 0.5000 0.5000 Hg
0.0000 0.0000 0.5000 Ga
0.0000 0.5000 0.0000 La
0.5000 0.0000 0.0000 La
```

Computed properties:
ρ (g cm⁻³): 7.45
Calculated total energy (eV/atom): -4.2048
Total moment (μB per formula unit): 0.000
Calculated formation energy (eV per atom): -0.4118


No. 7
## KPNF2 (PBE-GGA)

Data for a geometry-optimized KPNF2 structure.

Geometry as POSCAR:
```
KPNF2
1.0
-4.7134 -0.0267 0.8706
0.8454 -1.2933 4.5373
0.2254 4.9646 1.3731
P K N F
1 1 1 2
direct
0.5000 0.5000 0.5000 P
0.0000 0.0000 0.0000 K
0.0000 0.0000 0.5000 N
0.0000 0.5000 0.0000 F
0.5000 0.0000 0.0000 F
```

Computed properties:
ρ (g cm⁻³): 1.71
Calculated total energy (eV/atom): -3.0847
Distance to the lowest polymorph of the same formula (eV/f.u.): 9.082
Total moment (μB per formula unit): 1.022
Formation energy from raw total energies (eV/atom): 0.63


No. 8
## Ba2LaIn (PBE-GGA)

Data for a geometry-optimized Ba2LaIn structure.

Geometry as POSCAR:
```
Ba2LaIn
1.0
-12.3916 -0.0545 -1.8369
-11.1873 -2.2162 -5.1828
-11.7193 -4.1503 -1.5366
Ba In La
2 1 1
direct
0.0060 0.0060 0.0060 Ba
0.2338 0.2338 0.2338 Ba
0.4954 0.4954 0.4954 In
0.7648 0.7648 0.7648 La
```

Computed properties:
ρ (g cm⁻³): 4.76
Calculated total energy (eV/atom): -2.9247
Total moment (μB per formula unit): 0.392
Calculated formation energy (eV per atom): -0.0469


no.,volume (Å³/cell)
1,313.80
2,59.97
3,219.20
4,148.22
5,217.55
6,135.26
7,118.45
8,184.39